# 1
Material: Y2CdCu
Method: DFT, GGA-PBE
State: optimized geometry

- SG: No. 44

Structure (POSCAR):
```
Y2CdCu
1.0
-3.963 0.739 4.708
-5.277 -1.824 2.691
0.644 -3.296 3.767
Cu Cd Y
1 1 2
Direct
0.240 0.240 0.259
0.543 0.543 0.457
0.753 0.753 0.747
0.963 0.963 0.037
```

# 2
Material: Y2CdCu
Method: DFT, GGA-PBE
State: optimized geometry

- SG: No. 12

Structure (POSCAR):
```
Y2CdCu
1.0
-1.514 -0.896 3.304
-2.105 -3.082 0.290
5.795 -5.979 3.201
Y Cd Cu
2 1 1
Direct
0.511 0.511 0.467
0.989 0.989 0.033
0.750 0.750 0.750
0.250 0.250 0.250
```

# 3
Material: Y2CdCu
Method: DFT, GGA-PBE
State: optimized geometry

- SG: No. 47

Structure (POSCAR):
```
Y2CdCu
1.0
-2.061 -2.815 0.634
2.359 -2.088 -1.602
5.894 -3.182 5.030
Y Cu Cd
2 1 1
Direct
0.000 0.473 0.527
0.000 0.027 0.973
0.500 0.750 0.750
0.500 0.250 0.250
```

# 4
Material: Y6CdCu2
Method: DFT, GGA-PBE
State: optimized geometry

- SG: No. 71

Structure (POSCAR):
```
Y6CdCu2
1.0
8.042 -0.020 -2.878
-4.290 6.976 -2.427
-0.036 0.020 8.541
Cu Y Cd
4 12 2
Direct
0.500 0.619 0.119
0.500 0.381 0.881
0.648 0.000 0.648
0.352 0.000 0.352
0.697 0.019 0.322
0.900 0.717 0.184
0.804 0.240 0.044
0.100 0.283 0.816
0.804 0.760 0.564
0.303 0.981 0.678
0.467 0.283 0.184
0.697 0.375 0.678
0.303 0.625 0.322
0.533 0.717 0.816
0.196 0.760 0.956
0.196 0.240 0.436
0.000 0.500 0.500
0.000 0.000 0.000
```

# 5
Material: Y2CdCu2
Method: DFT, GGA-PBE
State: optimized geometry

- SG: No. 139

Structure (POSCAR):
```
Y2CdCu2
1.0
5.453 0.000 0.000
0.000 5.453 0.000
2.727 2.727 3.859
Y Cu Cd
2 2 1
Direct
0.250 0.750 0.500
0.750 0.250 0.500
0.645 0.645 0.710
0.355 0.355 0.290
0.000 0.000 0.000
```

# 6
Material: YCd2Cu
Method: DFT, GGA-PBE
State: optimized geometry

- SG: No. 71

Structure (POSCAR):
```
YCd2Cu
1.0
-3.492 0.942 -4.443
-1.334 -4.663 -3.050
-0.249 2.324 5.231
Cd Y Cu
2 1 1
Direct
0.969 0.969 0.000
0.531 0.531 0.000
0.250 0.750 0.500
0.750 0.250 0.500
```

| no. | formation enthalpy at 0 K (eV per atom) |
| --- | --- |
| 1 | -0.163 |
| 2 | -0.085 |
| 3 | -0.288 |
| 4 | -0.190 |
| 5 | -0.099 |
| 6 | -0.131 |